#1
Computed, not measured: crystalline LuFeCuAs at its relaxed geometry at the PBE level of DFT.

Cell lengths 4.433, 4.433, 4.433 Å; angles 60.00, 60.00, 60.00 degrees
Fractional coordinates of all 4 atoms:
Fe  0.250  0.250  0.250
As  0.000  0.000  0.000
Lu  0.500  0.500  0.500
Cu  0.750  0.750  0.750

total magnetic moment: 1.4 Bohr magnetons per cell



#2
Computed, not measured: crystalline LuFeCuAs at its relaxed geometry at the PBE level of DFT.

Cell lengths 4.519, 4.519, 4.519 Å; angles 60.00, 60.00, 60.00 degrees
Fractional coordinates of all 4 atoms:
Fe  0.750  0.750  0.750
Cu  0.500  0.500  0.500
As  0.000  0.000  0.000
Lu  0.250  0.250  0.250

total magnetic moment: 2.6 Bohr magnetons per cell



Tell me which of them is the most stable. Sure, it is #2.



#1
Computed, not measured: crystalline RbAlCuS3 at its relaxed geometry at the PBE level of DFT.

Cell lengths 7.683, 7.683, 9.917 Å; angles 90.00, 90.00, 153.54 degrees
Fractional coordinates of all 12 atoms:
S  0.559  0.441  0.250
Cu  0.035  0.965  0.750
Cu  0.965  0.035  0.250
S  0.893  0.107  0.454
Al  0.500  0.500  0.000
S  0.107  0.893  0.954
S  0.893  0.107  0.046
S  0.441  0.559  0.750
Al  0.500  0.500  0.500
S  0.107  0.893  0.546
Rb  0.751  0.249  0.750
Rb  0.249  0.751  0.250



#2
Computed, not measured: crystalline RbAlCuS3 at its relaxed geometry at the PBE level of DFT.

Cell lengths 8.636, 3.546, 9.706 Å; angles 90.00, 113.15, 90.00 degrees
Fractional coordinates of all 12 atoms:
S  0.643  0.250  0.857
Cu  0.586  0.250  0.603
Al  0.841  0.750  0.885
Rb  0.283  0.750  0.756
S  0.017  0.250  0.853
Rb  0.717  0.250  0.244
S  0.297  0.250  0.467
S  0.703  0.750  0.533
S  0.983  0.750  0.147
Cu  0.414  0.750  0.397
S  0.357  0.750  0.143
Al  0.159  0.250  0.115



Tell me which of them is the most stable. Sure, it is #2.



#1
Computed, not measured: crystalline BeAgSO at its relaxed geometry at the PBE level of DFT.

Cell lengths 5.958, 5.082, 7.560 Å; angles 90.00, 90.00, 90.00 degrees
Fractional coordinates of all 16 atoms:
Be  0.927  0.666  0.818
S  0.432  0.199  0.606
S  0.568  0.699  0.894
Ag  0.062  0.299  0.090
Ag  0.938  0.799  0.410
S  0.932  0.301  0.394
O  0.496  0.125  0.188
Be  0.073  0.166  0.682
Ag  0.562  0.201  0.910
Be  0.573  0.334  0.318
Ag  0.438  0.701  0.590
O  0.996  0.375  0.812
Be  0.427  0.834  0.182
S  0.068  0.801  0.106
O  0.004  0.875  0.688
O  0.504  0.625  0.312



#2
Computed, not measured: crystalline BeAgSO at its relaxed geometry at the PBE level of DFT.

Cell lengths 3.433, 3.433, 9.067 Å; angles 90.00, 90.00, 90.00 degrees
Fractional coordinates of all 8 atoms:
S  0.750  0.750  0.805
O  0.250  0.750  0.500
O  0.750  0.250  0.500
Be  0.750  0.750  0.523
S  0.250  0.250  0.195
Be  0.250  0.250  0.477
Ag  0.750  0.750  0.141
Ag  0.250  0.250  0.859



Tell me which of them is the most stable. Sure, it is #1.



#1
Computed, not measured: crystalline MgTePtO at its relaxed geometry at the PBE level of DFT.

Cell lengths 6.780, 7.242, 6.805 Å; angles 90.00, 90.00, 90.00 degrees
Fractional coordinates of all 16 atoms:
Pt  0.250  0.226  0.875
Te  0.961  0.309  0.625
Te  0.039  0.691  0.125
Pt  0.750  0.774  0.875
O  0.081  0.220  0.125
Mg  0.144  0.943  0.626
Te  0.461  0.691  0.625
O  0.919  0.780  0.625
Mg  0.856  0.057  0.126
Pt  0.250  0.226  0.375
O  0.581  0.780  0.125
O  0.419  0.220  0.625
Te  0.539  0.309  0.125
Mg  0.644  0.057  0.626
Pt  0.750  0.774  0.375
Mg  0.356  0.943  0.126

total magnetic moment: 0.0 Bohr magnetons per cell



#2
Computed, not measured: crystalline MgTePtO at its relaxed geometry at the PBE level of DFT.

Cell lengths 6.297, 8.558, 11.073 Å; angles 90.00, 90.00, 90.00 degrees
Fractional coordinates of all 32 atoms:
Mg  0.486  0.749  0.649
Te  0.750  0.500  0.002
O  0.284  0.249  0.735
O  0.716  0.751  0.265
Te  0.750  0.500  0.502
O  0.716  0.749  0.765
Pt  0.250  0.999  0.752
O  0.216  0.751  0.235
Mg  0.486  0.751  0.149
O  0.784  0.251  0.265
Pt  0.750  0.999  0.748
O  0.284  0.251  0.235
Mg  0.014  0.249  0.649
O  0.216  0.749  0.735
Pt  0.250  0.001  0.252
O  0.784  0.249  0.765
Te  0.250  0.500  0.498
Mg  0.986  0.751  0.351
Pt  0.250  0.501  0.252
Pt  0.750  0.501  0.248
Te  0.250  0.500  0.998
Mg  0.014  0.251  0.149
Te  0.250  0.000  0.998
Pt  0.750  0.499  0.748
Pt  0.250  0.499  0.752
Mg  0.514  0.249  0.851
Mg  0.514  0.251  0.351
Te  0.750  0.000  0.002
Pt  0.750  0.001  0.248
Mg  0.986  0.749  0.851
Te  0.250  0.000  0.498
Te  0.750  0.000  0.502

total magnetic moment: 0.0 Bohr magnetons per cell



Tell me which of them is the most stable. Sure, it is #1.



#1
Computed, not measured: crystalline LuAgSnTe3 at its relaxed geometry at the PBE level of DFT.

Cell lengths 4.427, 12.534, 12.641 Å; angles 90.00, 90.00, 90.00 degrees
Fractional coordinates of all 24 atoms:
Ag  0.250  0.237  0.802
Ag  0.750  0.763  0.198
Lu  0.250  0.974  0.312
Te  0.250  0.524  0.636
Sn  0.250  0.813  0.016
Ag  0.250  0.737  0.698
Te  0.250  0.412  0.934
Te  0.250  0.730  0.334
Te  0.250  0.230  0.166
Sn  0.250  0.313  0.484
Te  0.750  0.476  0.364
Te  0.250  0.912  0.566
Lu  0.750  0.026  0.688
Te  0.750  0.770  0.834
Te  0.750  0.270  0.666
Te  0.250  0.024  0.864
Lu  0.750  0.526  0.812
Lu  0.250  0.474  0.188
Sn  0.750  0.687  0.516
Te  0.750  0.976  0.136
Sn  0.750  0.187  0.984
Te  0.750  0.588  0.066
Te  0.750  0.088  0.434
Ag  0.750  0.263  0.302

total magnetic moment: 0.0 Bohr magnetons per cell



#2
Computed, not measured: crystalline LuAgSnTe3 at its relaxed geometry at the PBE level of DFT.

Cell lengths 9.860, 9.860, 8.930 Å; angles 101.75, 101.75, 24.94 degrees
Fractional coordinates of all 12 atoms:
Te  0.000  0.000  0.000
Te  0.688  0.688  0.338
Te  0.500  0.500  0.500
Sn  0.871  0.871  0.427
Lu  0.838  0.838  0.912
Ag  0.541  0.541  0.213
Te  0.675  0.675  0.853
Lu  0.162  0.162  0.088
Ag  0.459  0.459  0.787
Te  0.325  0.325  0.147
Te  0.312  0.312  0.662
Sn  0.129  0.129  0.573

total magnetic moment: 0.0 Bohr magnetons per cell



Tell me which of them is the most stable. Sure, it is #2.



#1
Computed, not measured: crystalline ZnSbPbF at its relaxed geometry at the PBE level of DFT.

Cell lengths 9.555, 18.823, 4.284 Å; angles 90.00, 90.00, 90.00 degrees
Fractional coordinates of all 32 atoms:
Zn  0.925  0.887  0.000
Sb  0.298  0.489  0.000
Pb  0.012  0.731  0.500
Zn  0.075  0.113  0.000
Pb  0.488  0.231  0.500
F  0.495  0.632  0.500
Pb  0.988  0.269  0.500
F  0.005  0.132  0.500
F  0.475  0.091  0.500
F  0.025  0.591  0.500
Zn  0.575  0.387  0.000
Sb  0.738  0.778  0.000
Sb  0.262  0.222  0.000
Sb  0.238  0.722  0.000
Zn  0.425  0.613  0.000
Zn  0.894  0.412  0.000
Sb  0.762  0.278  0.000
F  0.525  0.909  0.500
Sb  0.798  0.011  0.000
F  0.975  0.409  0.500
Pb  0.258  0.888  0.500
Zn  0.394  0.088  0.000
Pb  0.242  0.388  0.500
Zn  0.106  0.588  0.000
Zn  0.606  0.912  0.000
Pb  0.758  0.612  0.500
Sb  0.202  0.989  0.000
F  0.505  0.368  0.500
Pb  0.512  0.769  0.500
F  0.995  0.868  0.500
Pb  0.742  0.112  0.500
Sb  0.702  0.511  0.000



#2
Computed, not measured: crystalline ZnSbPbF at its relaxed geometry at the PBE level of DFT.

Cell lengths 7.038, 7.086, 7.393 Å; angles 90.00, 90.00, 90.00 degrees
Fractional coordinates of all 16 atoms:
F  0.707  0.727  0.052
Zn  0.791  0.020  0.396
Zn  0.709  0.980  0.896
F  0.293  0.227  0.448
Sb  0.063  0.680  0.396
Pb  0.182  0.003  0.702
F  0.207  0.773  0.948
Zn  0.291  0.480  0.604
Pb  0.682  0.497  0.298
Zn  0.209  0.520  0.104
Sb  0.937  0.180  0.104
Sb  0.437  0.320  0.896
F  0.793  0.273  0.552
Pb  0.818  0.503  0.798
Pb  0.318  0.997  0.202
Sb  0.563  0.820  0.604



Tell me which of them is the most stable. Sure, it is #2.



#1
Computed, not measured: crystalline GdZn at its relaxed geometry at the PBE level of DFT.

Cell lengths 5.398, 6.608, 5.384 Å; angles 90.00, 90.00, 90.00 degrees
Last column: magnetic moment on the atom in μB.
Fractional coordinates of all 8 atoms:
Gd  0.410  0.458  0.500  0.19
Gd  0.923  0.458  0.000  0.18
Zn  0.407  0.004  0.500  0.00
Zn  0.927  0.004  0.000  0.00
Gd  0.423  0.792  0.000  0.19
Zn  0.427  0.246  0.000  0.00
Gd  0.910  0.792  0.500  0.18
Zn  0.907  0.246  0.500  0.00

total magnetic moment: 1.1 Bohr magnetons per cell



#2
Computed, not measured: crystalline GdZn at its relaxed geometry at the PBE level of DFT.

Cell lengths 3.583, 3.583, 3.583 Å; angles 90.00, 90.00, 90.00 degrees
Fractional coordinates of all 2 atoms:
Zn  0.500  0.500  0.500
Gd  0.000  0.000  0.000

total magnetic moment: 0.1 Bohr magnetons per cell



Tell me which of them is the most stable. Sure, it is #2.



#1
Computed, not measured: crystalline Tb at its relaxed geometry at the PBE level of DFT.

Cell lengths 6.810, 6.810, 3.646 Å; angles 90.00, 90.00, 129.85 degrees
Fractional coordinates of all 4 atoms:
Tb  0.137  0.863  0.017
Tb  0.863  0.137  0.983
Tb  0.363  0.637  0.517
Tb  0.637  0.363  0.483

total magnetic moment: 0.0 Bohr magnetons per cell



#2
Computed, not measured: crystalline Tb at its relaxed geometry at the PBE level of DFT.

Cell lengths 8.652, 8.652, 8.652 Å; angles 90.00, 90.00, 90.00 degrees
Fractional coordinates of all 20 atoms:
Tb  0.811  0.311  0.189
Tb  0.206  0.456  0.125
Tb  0.939  0.561  0.439
Tb  0.375  0.794  0.956
Tb  0.311  0.189  0.811
Tb  0.706  0.044  0.875
Tb  0.294  0.544  0.625
Tb  0.689  0.689  0.689
Tb  0.956  0.375  0.794
Tb  0.794  0.956  0.375
Tb  0.125  0.206  0.456
Tb  0.439  0.939  0.561
Tb  0.561  0.439  0.939
Tb  0.061  0.061  0.061
Tb  0.625  0.294  0.544
Tb  0.456  0.125  0.206
Tb  0.544  0.625  0.294
Tb  0.875  0.706  0.044
Tb  0.189  0.811  0.311
Tb  0.044  0.875  0.706

total magnetic moment: 0.3 Bohr magnetons per cell



Tell me which of them is the most stable. Sure, it is #2.



#1
Computed, not measured: crystalline LiHfGaIr at its relaxed geometry at the PBE level of DFT.

Cell lengths 4.441, 4.441, 4.441 Å; angles 60.00, 60.00, 60.00 degrees
Fractional coordinates of all 4 atoms:
Ga  0.500  0.500  0.500
Hf  0.000  0.000  0.000
Ir  0.250  0.250  0.250
Li  0.750  0.750  0.750

total magnetic moment: 0.0 Bohr magnetons per cell



#2
Computed, not measured: crystalline LiHfGaIr at its relaxed geometry at the PBE level of DFT.

Cell lengths 4.485, 4.485, 4.485 Å; angles 60.00, 60.00, 60.00 degrees
Fractional coordinates of all 4 atoms:
Ir  0.000  0.000  0.000
Hf  0.250  0.250  0.250
Ga  0.500  0.500  0.500
Li  0.750  0.750  0.750

total magnetic moment: 0.0 Bohr magnetons per cell



Tell me which of them is the most stable. Sure, it is #1.



#1
Computed, not measured: crystalline DyTmIn at its relaxed geometry at the PBE level of DFT.

Cell lengths 5.343, 5.343, 6.675 Å; angles 90.00, 90.00, 120.00 degrees
Fractional coordinates of all 6 atoms:
Dy  0.000  0.000  0.500
Tm  0.667  0.333  0.250
Dy  0.000  0.000  0.000
In  0.667  0.333  0.750
Tm  0.333  0.667  0.750
In  0.333  0.667  0.250

total magnetic moment: 0.1 Bohr magnetons per cell



#2
Computed, not measured: crystalline DyTmIn at its relaxed geometry at the PBE level of DFT.

Cell lengths 5.140, 5.140, 5.140 Å; angles 60.00, 60.00, 60.00 degrees
Fractional coordinates of all 3 atoms:
In  0.000  0.000  0.000
Dy  0.250  0.250  0.250
Tm  0.750  0.750  0.750

total magnetic moment: 0.0 Bohr magnetons per cell



Tell me which of them is the most stable. Sure, it is #1.